# 1
{
  "formula": "Li3Ag",
  "functional": "GGA-PBEsol",
  "state": "optimized geometry",
  "cell": [[8.950, 0.000, 0.000], [-4.475, 7.751, 0.000], [0.000, 0.000, 2.826]],
  "species": ["Li", "Li", "Li", "Li", "Li", "Li", "Li", "Li", "Li", "Ag", "Ag", "Ag"],
  "fractional_positions": [[0.000, 0.500, 0.000], [0.167, 0.333, 0.333], [0.167, 0.833, 0.333], [0.333, 0.167, 0.667], [0.500, 0.000, 0.000], [0.500, 0.500, 0.000], [0.667, 0.833, 0.333], [0.833, 0.167, 0.667], [0.833, 0.667, 0.667], [0.000, 0.000, 0.000], [0.333, 0.667, 0.667], [0.667, 0.333, 0.333]],
  "density_g_cm3": 3.271,
  "delta_e_f_ev_per_atom": -0.091,
  "e_above_lowest_polymorph_ev_per_atom": 0.0360,
  "total_magnetization_mub_per_cell": 0.000
}

---

# 2
{
  "formula": "KSnAuS3",
  "functional": "GGA-PBEsol",
  "state": "optimized geometry",
  "cell": [[7.899, 0.000, 0.000], [0.000, 7.899, 0.000], [0.000, 0.000, 19.220]],
  "species": ["K", "K", "K", "K", "K", "K", "K", "K", "Sn", "Sn", "Sn", "Sn", "Sn", "Sn", "Sn", "Sn", "Au", "Au", "Au", "Au", "Au", "Au", "Au", "Au", "S", "S", "S", "S", "S", "S", "S", "S", "S", "S", "S", "S", "S", "S", "S", "S", "S", "S", "S", "S", "S", "S", "S", "S"],
  "fractional_positions": [[0.000, 0.000, 0.000], [0.000, 0.000, 0.192], [0.000, 0.000, 0.500], [0.000, 0.000, 0.692], [0.500, 0.500, 0.043], [0.500, 0.500, 0.334], [0.500, 0.500, 0.543], [0.500, 0.500, 0.834], [0.000, 0.500, 0.011], [0.000, 0.500, 0.188], [0.000, 0.500, 0.511], [0.000, 0.500, 0.688], [0.500, 0.000, 0.011], [0.500, 0.000, 0.188], [0.500, 0.000, 0.511], [0.500, 0.000, 0.688], [0.007, 0.309, 0.349], [0.007, 0.691, 0.849], [0.309, 0.007, 0.849], [0.309, 0.993, 0.349], [0.691, 0.007, 0.349], [0.691, 0.993, 0.849], [0.993, 0.309, 0.849], [0.993, 0.691, 0.349], [0.154, 0.334, 0.099], [0.154, 0.666, 0.599], [0.178, 0.316, 0.756], [0.178, 0.684, 0.256], [0.188, 0.323, 0.444], [0.188, 0.677, 0.944], [0.316, 0.178, 0.256], [0.316, 0.822, 0.756], [0.323, 0.188, 0.944], [0.323, 0.812, 0.444], [0.334, 0.154, 0.599], [0.334, 0.846, 0.099], [0.666, 0.154, 0.099], [0.666, 0.846, 0.599], [0.677, 0.188, 0.444], [0.677, 0.812, 0.944], [0.684, 0.178, 0.756], [0.684, 0.822, 0.256], [0.812, 0.323, 0.944], [0.812, 0.677, 0.444], [0.822, 0.316, 0.256], [0.822, 0.684, 0.756], [0.846, 0.334, 0.599], [0.846, 0.666, 0.099]],
  "density_g_cm3": 4.996,
  "formation_energy_uncorrected_ev_per_atom": -0.5983,
  "total_magnetization_mub_per_cell": 0.000
}

---

# 3
{
  "formula": "NiGeRu3",
  "functional": "GGA-PBEsol",
  "state": "optimized geometry",
  "cell": [[4.412, 0.000, 0.000], [0.000, 4.412, 0.000], [0.000, 0.000, 4.412]],
  "species": ["Ni", "Ge", "Ru", "Ru", "Ru"],
  "fractional_positions": [[0.000, 0.000, 0.000], [0.500, 0.500, 0.500], [0.000, 0.500, 0.500], [0.500, 0.000, 0.500], [0.500, 0.500, 0.000]],
  "density_g_cm3": 8.401,
  "delta_e_f_ev_per_atom": 1.581,
  "total_magnetization_mub_per_cell": 3.074
}

---

# 4
{
  "formula": "KNa2Hf",
  "functional": "GGA-PBEsol",
  "state": "optimized geometry",
  "cell": [[8.795, 0.000, 0.000], [0.000, 8.795, 0.000], [0.000, 0.000, 7.118]],
  "species": ["K", "K", "K", "K", "Na", "Na", "Na", "Na", "Na", "Na", "Na", "Na", "Hf", "Hf", "Hf", "Hf"],
  "fractional_positions": [[0.000, 0.000, 0.000], [0.000, 0.500, 0.250], [0.500, 0.000, 0.750], [0.500, 0.500, 0.500], [0.248, 0.250, 0.125], [0.250, 0.748, 0.375], [0.250, 0.752, 0.875], [0.252, 0.250, 0.625], [0.748, 0.750, 0.625], [0.750, 0.248, 0.875], [0.750, 0.252, 0.375], [0.752, 0.750, 0.125], [0.000, 0.000, 0.500], [0.000, 0.500, 0.750], [0.500, 0.000, 0.250], [0.500, 0.500, 0.000]],
  "density_g_cm3": 3.180,
  "delta_e_f_ev_per_atom": 1.156,
  "total_magnetization_mub_per_cell": 7.451
}

---

# 5
{
  "formula": "CaAgHg",
  "functional": "GGA-PBEsol",
  "state": "optimized geometry",
  "cell": [[3.741, 0.000, 0.000], [0.000, 3.741, 0.000], [0.000, 0.000, 9.441]],
  "species": ["Ca", "Ca", "Ag", "Ag", "Hg", "Hg"],
  "fractional_positions": [[0.000, 0.000, 0.000], [0.500, 0.500, 0.500], [0.000, 0.000, 0.674], [0.500, 0.500, 0.174], [0.000, 0.000, 0.328], [0.500, 0.500, 0.828]],
  "density_g_cm3": 8.758,
  "delta_e_f_ev_per_atom": -0.391,
  "total_magnetization_mub_per_cell": 0.000
}

---

# 6
{
  "formula": "Ba2CeCrO6",
  "functional": "GGA-PBEsol",
  "state": "optimized geometry",
  "cell": [[0.000, 4.137, 4.137], [4.137, 0.000, 4.137], [4.137, 4.137, 0.000]],
  "species": ["Ba", "Ba", "Ce", "Cr", "O", "O", "O", "O", "O", "O"],
  "fractional_positions": [[0.250, 0.250, 0.250], [0.750, 0.750, 0.750], [0.000, 0.000, 0.000], [0.500, 0.500, 0.500], [0.268, 0.268, 0.732], [0.268, 0.732, 0.268], [0.268, 0.732, 0.732], [0.732, 0.268, 0.268], [0.732, 0.268, 0.732], [0.732, 0.732, 0.268]],
  "density_g_cm3": 6.599,
  "formation_energy_uncorrected_ev_per_atom": -2.7696,
  "total_magnetization_mub_per_cell": 2.000
}